## Cs2SnSbBr6 (PBE)

Data for an optimized crystal structure of Cs2SnSbBr6.

Cell lengths 8.2678, 8.2678, 8.2844 Å; angles 60.07, 60.07, 90.00 degrees
Positions (direct):
Sb  0.0000  0.0000  0.0000
Cs  0.2500  0.7500  0.5000
Cs  0.7500  0.2500  0.5000
Br  0.7518  0.7518  0.4964
Br  0.2482  0.2482  0.5036
Br  0.7521  0.7521  0.0000
Br  0.7521  0.2479  0.0000
Br  0.2479  0.7521  0.0000
Br  0.2479  0.2479  0.0000
Sn  0.5000  0.5000  0.0000

## Properties
raw total energy	-30.6	eV per cell
space group	I4/mmm, No. 139
formation energy (no corrections)	-1071	meV per atom